The following is a PBE calculation of a relaxed structure of Ca4Al5Ge6, from the Alexandria database.

The structure in CIF format:
```
data_Ca4Al5Ge6
_space_group_name_H-M_alt 'C m c 21'
_space_group_IT_number 36
_space_group_name_Hall 'C 2c -2'
_cell_length_a 4.347
_cell_length_b 19.315
_cell_length_c 15.717
_cell_angle_alpha 90.00
_cell_angle_beta 90.00
_cell_angle_gamma 90.00
loop_
_atom_site_label
_atom_site_fract_x
_atom_site_fract_y
_atom_site_fract_z
Ca1 0.000 0.007 0.000
Ca2 0.000 0.029 0.270
Ca3 0.000 0.168 0.810
Ca4 0.000 0.177 0.445
Al1 0.000 0.148 0.130
Al2 0.000 0.298 0.127
Al3 0.000 0.347 0.770
Al4 0.000 0.356 0.485
Al5 0.000 0.434 0.185
Ge1 0.000 0.119 0.621
Ge2 0.000 0.218 0.993
Ge3 0.000 0.225 0.263
Ge4 0.000 0.429 0.901
Ge5 0.000 0.431 0.630
Ge6 0.000 0.442 0.356
```

***

The following is a PBE calculation of a relaxed structure of Mg8Sn2Hg, from the Alexandria database.

## Properties
E above lowest polymorph: 0.0 meV/atom

The structure in CIF format:
```
data_Mg8Sn2Hg
_space_group_name_H-M_alt 'C 1 2/m 1'
_space_group_IT_number 12
_space_group_name_Hall '-C 2y'
_cell_length_a 16.323
_cell_length_b 4.797
_cell_length_c 7.068
_cell_angle_alpha 90.00
_cell_angle_beta 112.84
_cell_angle_gamma 90.00
loop_
_atom_site_label
_atom_site_fract_x
_atom_site_fract_y
_atom_site_fract_z
Mg1 0.025 0.000 0.285
Mg2 0.091 0.500 0.940
Mg3 0.162 0.500 0.426
Mg4 0.180 0.000 0.749
Sn1 0.184 0.000 0.175
Hg1 0.000 0.500 0.500
```

***

no.,DOS(E_F) (states/eV per atom),formation enthalpy at 0 K (kJ per mole of atoms),spin magnetization (μB/f.u.)
1,0.24,-38.9,0.000
2,0.32,-10.5,0.000